[1]
An optimized crystal structure of Sm4SnTe2. Source: the Alexandria database, functional GGA-PBE.

Structure (POSCAR):
```
Sm4SnTe2
1.0
-4.893 4.893 4.777
4.893 -4.893 4.777
4.893 4.893 -4.777
Sm Sn Te
8 2 4
Direct
0.183 0.243 0.560
0.183 0.622 0.940
0.243 0.183 0.060
0.378 0.817 0.560
0.622 0.183 0.440
0.757 0.817 0.940
0.817 0.378 0.060
0.817 0.757 0.440
0.125 0.875 0.250
0.875 0.125 0.750
0.000 0.500 0.500
0.500 0.000 0.000
0.500 0.500 0.000
0.500 0.500 0.500
```

Results
**E_form (uncorrected)**: -6.72 eV/f.u.
**DFT total energy**: -71.76 eV for the cell shown
**Total magnetization**: 0.0 μB/f.u.
**SG**: No. 141

---

[2]
An optimized crystal structure of RbSrSb2Os. Source: the Alexandria database, functional GGA-PBE.

Structure (POSCAR):
```
RbSrSb2Os
1.0
5.241 0.000 0.000
0.000 5.241 0.000
0.000 0.000 5.988
Rb Sr Sb Os
1 1 2 1
Direct
0.000 0.000 0.000
0.500 0.500 0.000
0.000 0.500 0.500
0.500 0.000 0.500
0.000 0.000 0.500
```

Results
**E_form (uncorrected)**: 1.91 eV/f.u.
**DFT total energy**: -20.22 eV for the cell shown
**Total magnetization**: 0.0 μB/f.u.
**SG**: No. 123

---

[3]
An optimized crystal structure of ScMnC. Source: the Alexandria database, functional GGA-PBE.

Structure (POSCAR):
```
ScMnC
1.0
2.348 -4.183 0.000
2.348 4.183 0.000
0.000 0.000 4.310
Sc Mn C
2 2 2
Direct
0.185 0.815 0.750
0.815 0.185 0.250
0.500 0.500 0.000
0.500 0.500 0.500
0.315 0.685 0.250
0.685 0.315 0.750
```

Results
**E above lowest polymorph**: 325 meV per atom
**Calculated formation energy**: 22 meV/atom
**DFT total energy**: -49.32 eV for the cell shown
**Total magnetization**: 0.0 μB/f.u.
**SG**: No. 63

---

Number 3 is which compound? ScMnC

---

Repeat the second record exactly.
An optimized crystal structure of RbSrSb2Os. Source: the Alexandria database, functional GGA-PBE.

Structure (POSCAR):
```
RbSrSb2Os
1.0
5.241 0.000 0.000
0.000 5.241 0.000
0.000 0.000 5.988
Rb Sr Sb Os
1 1 2 1
Direct
0.000 0.000 0.000
0.500 0.500 0.000
0.000 0.500 0.500
0.500 0.000 0.500
0.000 0.000 0.500
```

Results
**E_form (uncorrected)**: 1.91 eV/f.u.
**DFT total energy**: -20.22 eV for the cell shown
**Total magnetization**: 0.0 μB/f.u.
**SG**: No. 123

---

total magnetization of number 2 (RbSrSb2Os)? 0.0 μB/f.u.